! Hg3RhBr PBE-GGA relaxed; values from VASP
&SYSTEM
  ibrav = 0, nat = 5, ntyp = 3
/
ATOMIC_SPECIES
Hg 200.59 Hg.upf
Br 79.90 Br.upf
Rh 102.91 Rh.upf
CELL_PARAMETERS angstrom
5.267 0.000 0.000
0.000 5.267 0.000
0.000 0.000 5.267
ATOMIC_POSITIONS crystal
Hg 0.000 0.500 0.000
Br 0.500 0.500 0.500
Hg 0.500 0.000 0.000
Rh 0.000 0.000 0.000
Hg 0.000 0.000 0.500
! Space-group type: Pm-3m
! E_tot, eV for the cell shown: -9.26
! Total moment, μB/atom: 0.00
! Polymorph energy (0 for the lowest one), meV per atom: 0.0